Record 1
# BPO, optimized geometry, DFT PBE
# total energy: -6.570 eV/atom
# energy relative to the lowest polymorph listed for this composition: 193 meV per atom
# space group: No. 8
# crystal system: monoclinic
# energy relative to the elements, uncorrected: -0.888 eV per atom
# total magnetization: 0.000 μB/f.u.
data_BPO
_symmetry_space_group_name_H-M 'P 1'
_symmetry_Int_Tables_number 1
_cell_length_a 3.918
_cell_length_b 3.264
_cell_length_c 12.799
_cell_angle_alpha 90.00
_cell_angle_beta 100.44
_cell_angle_gamma 90.00
loop_
_symmetry_equiv_pos_as_xyz
'x,y,z'
loop_
_atom_site_label
_atom_site_type_symbol
_atom_site_fract_x
_atom_site_fract_y
_atom_site_fract_z
B1 B 0.405 0.000 0.484
B2 B 0.405 0.500 0.984
B3 B 0.808 0.500 0.061
B4 B 0.808 0.000 0.561
O1 O 0.128 0.500 0.034
O2 O 0.128 0.000 0.534
O3 O 0.787 0.500 0.170
O4 O 0.787 0.000 0.670
P1 P 0.341 0.500 0.826
P2 P 0.945 0.500 0.295
P3 P 0.341 0.000 0.326
P4 P 0.945 0.000 0.795

Record 2
# Sm6In3Te, optimized geometry, DFT PBE
# total energy: -4.384 eV/atom
# space group: No. 36
# crystal system: orthorhombic
# energy relative to the elements, uncorrected: -0.417 eV per atom
# total magnetization: 0.000 μB/f.u.
data_Sm6In3Te
_symmetry_space_group_name_H-M 'P 1'
_symmetry_Int_Tables_number 1
_cell_length_a 7.452
_cell_length_b 9.233
_cell_length_c 9.233
_cell_angle_alpha 92.56
_cell_angle_beta 90.00
_cell_angle_gamma 90.00
loop_
_symmetry_equiv_pos_as_xyz
'x,y,z'
loop_
_atom_site_label
_atom_site_type_symbol
_atom_site_fract_x
_atom_site_fract_y
_atom_site_fract_z
Sm1 Sm 0.583 0.153 0.323
Sm2 Sm 0.202 0.209 0.533
Sm3 Sm 0.083 0.323 0.153
Sm4 Sm 0.583 0.677 0.847
Sm5 Sm 0.682 0.308 0.692
Sm6 Sm 0.777 0.992 0.008
Sm7 Sm 0.182 0.692 0.308
Sm8 Sm 0.202 0.467 0.791
Sm9 Sm 0.702 0.791 0.467
Sm10 Sm 0.083 0.847 0.677
Sm11 Sm 0.277 0.008 0.992
Sm12 Sm 0.702 0.533 0.209
Te1 Te 0.509 0.825 0.175
Te2 Te 0.009 0.175 0.825
In1 In 0.501 0.307 0.009
In2 In 0.445 0.502 0.498
In3 In 0.945 0.498 0.502
In4 In 0.001 0.693 0.991
In5 In 0.001 0.009 0.307
In6 In 0.501 0.991 0.693